This record from Alexandria via LeMat-Bulk describes V3Se2ClO8 after structural relaxation. The functional is GGA+U.

Values from the calculation:
* total magnetic moment: 6.00 μB per formula unit
* V: 18.87 Å³/atom
* N(E_F): 0.00 states/eV/f.u.
* raw total energy: -6.340 eV/atom

CIF file:
```
data_V3Se2ClO8
_symmetry_space_group_name_H-M 'P -1'
_symmetry_Int_Tables_number 2
_cell_length_a 6.789
_cell_length_b 7.912
_cell_length_c 9.848
_cell_angle_alpha 90.21
_cell_angle_beta 90.02
_cell_angle_gamma 92.88
loop_
_symmetry_equiv_pos_as_xyz
'x,y,z'
'-x,-y,-z'
loop_
_atom_site_label
_atom_site_type_symbol
_atom_site_fract_x
_atom_site_fract_y
_atom_site_fract_z
V1 V 0.000 0.000 0.000
V2 V 0.000 0.000 0.500
V3 V 0.242 0.186 0.251
V4 V 0.500 0.000 0.000
V5 V 0.500 0.000 0.500
Se1 Se 0.273 0.353 0.557
Se2 Se 0.273 0.353 0.945
Cl1 Cl 0.118 0.875 0.750
O1 O 0.054 0.237 0.570
O2 O 0.054 0.237 0.931
O3 O 0.252 0.023 0.401
O4 O 0.252 0.024 0.099
O5 O 0.306 0.373 0.118
O6 O 0.307 0.373 0.384
O7 O 0.454 0.207 0.593
O8 O 0.454 0.208 0.909
```